Ta2TlCr GGA-PBE relaxed; calculated volume = 158.48 Å³/cell; D(E_F) = 4.75 states/eV/f.u.; E above lowest polymorph = 616 meV/atom; SG = I-42d, No. 122; E_form = 0.94 eV per atom
1.0
-0.2967 -0.0609 3.9309
-2.8447 -2.7176 -0.2568
5.4466 -8.7740 2.2524
Ta Cr Tl
4 2 2
Direct
0.6194 0.1250 0.2500
0.8750 0.8694 0.7500
0.1306 0.6250 0.2500
0.3750 0.3806 0.7500
0.2500 0.7500 0.5000
0.5000 0.5000 0.0000
0.7500 0.2500 0.5000
0.0000 0.0000 0.0000